Entry P
CrCoRu2: optimized geometry, PBE-GGA.

Output
- SG: P4mm, No. 99
- Density: 10.3 g/cm³

Cell: 2.6279 2.6279 7.2851 Å, 90.00 90.00 90.00°
Closest atoms and distances in Å follow each position.
Positions (direct):
Cr 0.0000 0.0000 0.0000  4 Co 2.48, 4 Cr 2.63, 4 Ru 2.63
Co 0.5000 0.5000 0.7740  4 Cr 2.48, 4 Ru 2.61, 4 Co 2.63
Ru 0.0000 0.0000 0.5222  4 Co 2.61, 8 Ru 2.63-2.69
Ru 0.5000 0.5000 0.2552  8 Ru 2.63-2.69, 4 Cr 2.63

Entry Q
CrCoRu2: optimized geometry, PBE-GGA.

Output
- SG: Cmmm, No. 65
- Density: 10.3 g/cm³

Cell: 5.3063 7.1471 2.6702 Å, 90.00 90.00 90.00°
Closest atoms and distances in Å follow each position.
Positions (direct):
Cr 0.0000 0.0000 0.0000  8 Ru 2.60, 2 Co 2.65, 2 Cr 2.67
Cr 0.5000 0.5000 0.0000  8 Ru 2.60, 2 Co 2.65, 2 Cr 2.67
Co 0.0000 0.5000 0.0000  8 Ru 2.60, 2 Cr 2.65, 2 Co 2.67
Co 0.5000 0.0000 0.0000  8 Ru 2.60, 2 Cr 2.65, 2 Co 2.67
Ru 0.2500 0.2500 0.5000  4 Cr 2.60, 4 Co 2.60, 4 Ru 2.65-2.67
Ru 0.2500 0.7500 0.5000  4 Cr 2.60, 4 Co 2.60, 4 Ru 2.65-2.67
Ru 0.7500 0.2500 0.5000  4 Cr 2.60, 4 Co 2.60, 4 Ru 2.65-2.67
Ru 0.7500 0.7500 0.5000  4 Cr 2.60, 4 Co 2.60, 4 Ru 2.65-2.67

The most stable arrangement is entry Q, and the next structure is 0.019 eV/atom less stable.

Entry P
CrCoRu2: optimized geometry, PBE-GGA.

Output
- SG: I4/mmm, No. 139
- Density: 10.4 g/cm³

Cell: 3.7543 3.7543 7.1218 Å, 90.00 90.00 90.00°
Closest atoms and distances in Å follow each position.
Positions (direct):
Cr 0.0000 0.0000 0.0000  8 Ru 2.59, 4 Co 2.65
Cr 0.5000 0.5000 0.5000  8 Ru 2.59, 4 Co 2.65
Co 0.0000 0.0000 0.5000  8 Ru 2.59, 4 Cr 2.65
Co 0.5000 0.5000 0.0000  8 Ru 2.59, 4 Cr 2.65
Ru 0.0000 0.5000 0.2500  4 Cr 2.59, 4 Co 2.59, 4 Ru 2.65
Ru 0.0000 0.5000 0.7500  4 Co 2.59, 4 Cr 2.59, 4 Ru 2.65
Ru 0.5000 0.0000 0.2500  4 Cr 2.59, 4 Co 2.59, 4 Ru 2.65
Ru 0.5000 0.0000 0.7500  4 Co 2.59, 4 Cr 2.59, 4 Ru 2.65

Entry Q
CrCoRu2: optimized geometry, PBE-GGA.

Output
- SG: Cmm2, No. 35
- Density: 9.9 g/cm³

Cell: 2.7845 4.3722 8.5936 Å, 90.00 90.00 90.00°
Closest atoms and distances in Å follow each position.
Positions (direct):
Cr 0.0000 0.0000 0.0000  2 Co 2.43, 2 Ru 2.50, 4 Cr 2.59
Cr 0.5000 0.5000 0.0000  2 Co 2.43, 2 Ru 2.50, 4 Cr 2.59
Co 0.0000 0.5000 0.7676  2 Cr 2.43, 2 Ru 2.57, 4 Co 2.59
Co 0.5000 0.0000 0.7676  2 Cr 2.43, 2 Ru 2.57, 4 Co 2.59
Ru 0.0000 0.0000 0.5162  2 Co 2.57, 8 Ru 2.59-2.78
Ru 0.0000 0.5000 0.2423  2 Cr 2.50, 8 Ru 2.59-2.78
Ru 0.5000 0.0000 0.2423  2 Cr 2.50, 8 Ru 2.59-2.78
Ru 0.5000 0.5000 0.5162  2 Co 2.57, 8 Ru 2.59-2.78

The most stable arrangement is entry P, and the next structure is 0.288 eV/atom less stable.

Entry P
CrCoRu2: optimized geometry, PBE-GGA.

Output
- SG: P4/mmm, No. 123
- Density: 10.3 g/cm³

Cell: 3.7397 3.7397 3.5983 Å, 90.00 90.00 90.00°
Closest atoms and distances in Å follow each position.
Positions (direct):
Cr 0.0000 0.0000 0.0000  8 Ru 2.59, 4 Co 2.64
Co 0.5000 0.5000 0.0000  8 Ru 2.59, 4 Cr 2.64
Ru 0.0000 0.5000 0.5000  4 Cr 2.59, 4 Co 2.59, 4 Ru 2.64
Ru 0.5000 0.0000 0.5000  4 Cr 2.59, 4 Co 2.59, 4 Ru 2.64

Entry Q
CrCoRu2: optimized geometry, PBE-GGA.

Output
- SG: R-3m, No. 166
- Density: 10.1 g/cm³

Cell: 2.6434 2.6434 25.5148 Å, 90.00 90.00 120.00°
Closest atoms and distances in Å follow each position.
Positions (direct):
Cr 0.0000 0.0000 0.0000  6 Ru 2.59, 6 Cr 2.64
Cr 0.3333 0.6667 0.6667  6 Ru 2.59, 6 Cr 2.64
Cr 0.6667 0.3333 0.3333  6 Ru 2.59, 6 Cr 2.64
Co 0.0000 0.0000 0.5000  6 Ru 2.64, 6 Co 2.64
Co 0.3333 0.6667 0.1667  6 Ru 2.64, 6 Co 2.64
Co 0.6667 0.3333 0.8333  6 Ru 2.64, 6 Co 2.64
Ru 0.0000 0.0000 0.2511  3 Cr 2.59, 3 Co 2.64, 6 Ru 2.64
Ru 0.0000 0.0000 0.7489  3 Cr 2.59, 3 Co 2.64, 6 Ru 2.64
Ru 0.3333 0.6667 0.4156  3 Cr 2.59, 3 Co 2.64, 6 Ru 2.64
Ru 0.3333 0.6667 0.9178  3 Cr 2.59, 3 Co 2.64, 6 Ru 2.64
Ru 0.6667 0.3333 0.0822  3 Cr 2.59, 3 Co 2.64, 6 Ru 2.64
Ru 0.6667 0.3333 0.5844  3 Cr 2.59, 3 Co 2.64, 6 Ru 2.64

The most stable arrangement is entry P, and the next structure is 0.093 eV/atom less stable.

Entry P
CrCoRu2: optimized geometry, PBE-GGA.

Output
- SG: Amm2, No. 38
- Density: 10.4 g/cm³

Cell: 3.9922 2.6425 9.5053 Å, 90.00 90.00 90.00°
Closest atoms and distances in Å follow each position.
Positions (direct):
Cr 0.0000 0.0000 0.0000  2 Co 2.34, 7 Ru 2.54-2.60
Cr 0.0000 0.5000 0.5000  2 Co 2.34, 7 Ru 2.54-2.60
Co 0.5000 0.0000 0.8720  2 Cr 2.34, 7 Ru 2.52-2.59
Co 0.5000 0.5000 0.3720  2 Cr 2.34, 7 Ru 2.52-2.59
Ru 0.0000 0.0000 0.2677  3 Cr 2.54-2.57, 4 Co 2.59, 6 Ru 2.64-2.84
Ru 0.0000 0.5000 0.7677  3 Cr 2.54-2.57, 4 Co 2.59, 6 Ru 2.64-2.84
Ru 0.5000 0.0000 0.6068  3 Co 2.52-2.59, 4 Cr 2.60, 2 Ru 2.64
Ru 0.5000 0.5000 0.1068  3 Co 2.52-2.59, 4 Cr 2.60, 2 Ru 2.64

Entry Q
CrCoRu2: optimized geometry, PBE-GGA.

Output
- SG: P4/mmm, No. 123
- Density: 10.3 g/cm³

Cell: 2.6405 2.6405 7.2358 Å, 90.00 90.00 90.00°
Closest atoms and distances in Å follow each position.
Positions (direct):
Cr 0.0000 0.0000 0.0000  8 Ru 2.60, 4 Cr 2.64
Co 0.0000 0.0000 0.5000  8 Ru 2.59, 4 Co 2.64
Ru 0.5000 0.5000 0.2509  4 Co 2.59, 4 Cr 2.60, 4 Ru 2.64
Ru 0.5000 0.5000 0.7491  4 Co 2.59, 4 Cr 2.60, 4 Ru 2.64

The most stable arrangement is entry P, and the next structure is 0.063 eV/atom less stable.

Entry P
Cr3CoRu: optimized geometry, PBE-GGA.

Output
- SG: Pm-3m, No. 221
- Density: 6.3 g/cm³

Cell: 4.3664 4.3664 4.3664 Å, 90.00 90.00 90.00°
Closest atoms and distances in Å follow each position.
Positions (direct):
Cr 0.0000 0.0000 0.5000  2 Ru 2.18
Cr 0.0000 0.5000 0.0000  2 Ru 2.18
Cr 0.5000 0.0000 0.0000  2 Ru 2.18
Co 0.5000 0.5000 0.5000  12 Cr 3.09
Ru 0.0000 0.0000 0.0000  6 Cr 2.18

Entry Q
Cr3CoRu: optimized geometry, PBE-GGA.

Output
- SG: Pm-3m, No. 221
- Density: 7.4 g/cm³

Cell: 4.1393 4.1393 4.1393 Å, 90.00 90.00 90.00°
Closest atoms and distances in Å follow each position.
Positions (direct):
Cr 0.0000 0.0000 0.5000  2 Co 2.07
Cr 0.0000 0.5000 0.0000  2 Co 2.07
Cr 0.5000 0.0000 0.0000  2 Co 2.07
Co 0.0000 0.0000 0.0000  6 Cr 2.07
Ru 0.5000 0.5000 0.5000  12 Cr 2.93

The most stable arrangement is entry Q, and the next structure is 0.561 eV/atom less stable.

Entry P
Cr2CoRu2: optimized geometry, PBE-GGA.

Output
- SG: P4/mbm, No. 127
- Density: 9.3 g/cm³

Cell: 6.9205 6.9205 2.7319 Å, 90.00 90.00 90.00°
Closest atoms and distances in Å follow each position.
Positions (direct):
Cr 0.1243 0.3757 0.0000  6 Ru 2.40-2.50, 1 Cr 2.43
Cr 0.3757 0.8757 0.0000  6 Ru 2.40-2.50, 1 Cr 2.43
Cr 0.6243 0.1243 0.0000  6 Ru 2.40-2.50, 1 Cr 2.43
Cr 0.8757 0.6243 0.0000  6 Ru 2.40-2.50, 1 Cr 2.43
Co 0.0000 0.0000 0.0000  2 Co 2.73, 4 Cr 2.74, 8 Ru 2.90
Co 0.5000 0.5000 0.0000  2 Co 2.73, 4 Cr 2.74, 8 Ru 2.90
Ru 0.1743 0.6743 0.5000  6 Cr 2.40-2.50
Ru 0.3257 0.1743 0.5000  6 Cr 2.40-2.50
Ru 0.6743 0.8257 0.5000  6 Cr 2.40-2.50
Ru 0.8257 0.3257 0.5000  6 Cr 2.40-2.50

Entry Q
Cr2CoRu2: optimized geometry, PBE-GGA.

Output
- SG: P4/mbm, No. 127
- Density: 9.1 g/cm³

Cell: 6.9911 6.9911 2.7380 Å, 90.00 90.00 90.00°
Closest atoms and distances in Å follow each position.
Positions (direct):
Cr 0.1626 0.3374 0.0000  6 Ru 2.40-2.51
Cr 0.3374 0.8374 0.0000  6 Ru 2.40-2.51
Cr 0.6626 0.1626 0.0000  6 Ru 2.40-2.51
Cr 0.8374 0.6626 0.0000  6 Ru 2.40-2.51
Co 0.0000 0.0000 0.5000  4 Ru 2.71, 2 Co 2.74, 8 Cr 2.95
Co 0.5000 0.5000 0.5000  4 Ru 2.71, 2 Co 2.74, 8 Cr 2.95
Ru 0.1379 0.6379 0.5000  6 Cr 2.40-2.51
Ru 0.3621 0.1379 0.5000  6 Cr 2.40-2.51
Ru 0.6379 0.8621 0.5000  6 Cr 2.40-2.51
Ru 0.8621 0.3621 0.5000  6 Cr 2.40-2.51

The most stable arrangement is entry Q, and the next structure is 0.011 eV/atom less stable.

Entry P
CrCoRu: optimized geometry, PBE-GGA.

Output
- SG: I4mm, No. 107
- Density: 9.7 g/cm³

Cell: 2.5956 2.5956 10.7419 Å, 90.00 90.00 90.00°
Closest atoms and distances in Å follow each position.
Positions (direct):
Cr 0.0000 0.0000 0.0000  4 Co 2.47, 4 Cr 2.60, 4 Ru 2.61
Cr 0.5000 0.5000 0.5000  4 Co 2.47, 4 Cr 2.60, 4 Ru 2.61
Co 0.0000 0.0000 0.6538  4 Cr 2.47, 4 Co 2.60, 4 Ru 2.62
Co 0.5000 0.5000 0.1538  4 Cr 2.47, 4 Co 2.60, 4 Ru 2.62
Ru 0.0000 0.0000 0.3272  4 Ru 2.60, 4 Cr 2.61, 4 Co 2.62
Ru 0.5000 0.5000 0.8272  4 Ru 2.60, 4 Cr 2.61, 4 Co 2.62

Entry Q
CrCoRu: optimized geometry, PBE-GGA.

Output
- SG: P-6m2, No. 187
- Density: 9.7 g/cm³

Cell: 4.0147 4.0147 2.5961 Å, 90.00 90.00 120.00°
Closest atoms and distances in Å follow each position.
Positions (direct):
Cr 0.0000 0.0000 0.0000  3 Co 2.32
Co 0.3333 0.6667 0.0000  3 Cr 2.32
Ru 0.6667 0.3333 0.5000  2 Ru 2.60, 6 Cr 2.66, 6 Co 2.66

Entry R
CrCoRu: optimized geometry, PBE-GGA.

Output
- SG: Imm2, No. 44
- Density: 9.6 g/cm³

Cell: 2.5918 3.6369 7.7420 Å, 90.00 90.00 90.00°
Closest atoms and distances in Å follow each position.
Positions (direct):
Cr 0.0000 0.0000 0.0000  5 Ru 2.55-2.59, 5 Co 2.56-2.62, 2 Cr 2.59
Cr 0.5000 0.5000 0.5000  5 Ru 2.55-2.59, 5 Co 2.56-2.62, 2 Cr 2.59
Co 0.0000 0.0000 0.3379  5 Cr 2.56-2.62, 5 Ru 2.57-2.58, 2 Co 2.59
Co 0.5000 0.5000 0.8379  5 Cr 2.56-2.62, 5 Ru 2.57-2.58, 2 Co 2.59
Ru 0.0000 0.0000 0.6703  5 Cr 2.55-2.59, 5 Co 2.57-2.58, 2 Ru 2.59
Ru 0.5000 0.5000 0.1703  5 Cr 2.55-2.59, 5 Co 2.57-2.58, 2 Ru 2.59

Entry S
CrCoRu: optimized geometry, PBE-GGA.

Output
- SG: Fmm2, No. 42
- Density: 9.4 g/cm³

Cell: 2.8827 4.2300 12.3243 Å, 90.00 90.00 90.00°
Closest atoms and distances in Å follow each position.
Positions (direct):
Cr 0.0000 0.0000 0.0000  2 Co 2.40, 2 Ru 2.51, 4 Cr 2.56
Cr 0.0000 0.5000 0.5000  2 Co 2.40, 2 Ru 2.51, 4 Cr 2.56
Cr 0.5000 0.0000 0.5000  2 Co 2.40, 2 Ru 2.51, 4 Cr 2.56
Cr 0.5000 0.5000 0.0000  2 Co 2.40, 2 Ru 2.51, 4 Cr 2.56
Co 0.0000 0.0000 0.3438  2 Cr 2.40, 4 Co 2.56, 2 Ru 2.62
Co 0.0000 0.5000 0.8438  2 Cr 2.40, 4 Co 2.56, 2 Ru 2.62
Co 0.5000 0.0000 0.8438  2 Cr 2.40, 4 Co 2.56, 2 Ru 2.62
Co 0.5000 0.5000 0.3438  2 Cr 2.40, 4 Co 2.56, 2 Ru 2.62
Ru 0.0000 0.0000 0.6665  2 Cr 2.51, 4 Ru 2.56, 2 Co 2.62
Ru 0.0000 0.5000 0.1665  2 Cr 2.51, 4 Ru 2.56, 2 Co 2.62
Ru 0.5000 0.0000 0.1665  2 Cr 2.51, 4 Ru 2.56, 2 Co 2.62
Ru 0.5000 0.5000 0.6665  2 Cr 2.51, 4 Ru 2.56, 2 Co 2.62

The most stable arrangement is entry Q, and the next structure is 0.022 eV/atom less stable.

Entry P
CrCoRu: optimized geometry, PBE-GGA.

Output
- SG: P2_1/m, No. 11
- Density: 9.8 g/cm³

Cell: 4.4620 4.0902 4.5323 Å, 90.00 119.48 90.00°
Closest atoms and distances in Å follow each position.
Positions (direct):
Cr 0.1620 0.2500 0.1632  2 Cr 2.52, 5 Ru 2.53-2.65, 5 Co 2.55-2.71
Cr 0.8380 0.7500 0.8368  2 Cr 2.52, 5 Ru 2.53-2.65, 5 Co 2.55-2.71
Co 0.4964 0.7500 0.1510  2 Co 2.47, 5 Ru 2.55-2.67, 5 Cr 2.55-2.71
Co 0.5036 0.2500 0.8490  2 Co 2.47, 5 Ru 2.55-2.67, 5 Cr 2.55-2.71
Ru 0.1845 0.7500 0.5020  5 Cr 2.53-2.65, 5 Co 2.55-2.67, 2 Ru 2.62
Ru 0.8155 0.2500 0.4980  5 Cr 2.53-2.65, 5 Co 2.55-2.67, 2 Ru 2.62

Entry Q
CrCoRu: optimized geometry, PBE-GGA.

Output
- SG: Ima2, No. 46
- Density: 9.5 g/cm³

Cell: 6.9425 6.9425 6.9425 Å, 126.79 84.26 120.07°
Closest atoms and distances in Å follow each position.
Positions (direct):
Cr 0.1784 0.0433 0.2216  3 Co 2.37-2.40, 4 Ru 2.41-2.56, 1 Cr 2.57
Cr 0.1784 0.4567 0.6351  3 Co 2.37-2.40, 4 Ru 2.41-2.56, 1 Cr 2.57
Cr 0.4440 0.7524 0.1916  4 Co 2.31-2.48, 1 Ru 2.40
Cr 0.5609 0.2524 0.8084  4 Co 2.31-2.48, 1 Ru 2.40
Cr 0.8216 0.5433 0.3649  3 Co 2.37-2.40, 4 Ru 2.41-2.56, 1 Cr 2.57
Cr 0.8216 0.9567 0.7784  3 Co 2.37-2.40, 4 Ru 2.41-2.56, 1 Cr 2.57
Co 0.2157 0.2805 0.8269  4 Cr 2.31-2.48, 2 Co 2.44-2.54
Co 0.2157 0.8888 0.4352  4 Cr 2.31-2.48, 2 Co 2.44-2.54
Co 0.4536 0.3888 0.1731  4 Cr 2.31-2.48, 2 Co 2.44-2.54
Co 0.4536 0.7805 0.5648  4 Cr 2.31-2.48, 2 Co 2.44-2.54
Co 0.7878 0.2878 0.5000  4 Cr 2.37-2.59, 4 Ru 2.43-2.65
Co 0.7878 0.7878 0.0000  4 Cr 2.37-2.59, 4 Ru 2.43-2.65
Ru 0.0579 0.3460 0.2119  4 Cr 2.42-2.66, 6 Co 2.61-2.67
Ru 0.1341 0.8460 0.7881  4 Cr 2.42-2.66, 6 Co 2.61-2.67
Ru 0.5148 0.4314 0.5834  5 Cr 2.41-2.63, 2 Co 2.43
Ru 0.5590 0.0171 0.0419  3 Cr 2.40-2.46, 4 Co 2.64-2.65
Ru 0.8479 0.9314 0.4166  5 Cr 2.41-2.63, 2 Co 2.43
Ru 0.9752 0.5171 0.9581  3 Cr 2.40-2.46, 4 Co 2.64-2.65

The most stable arrangement is entry P, and the next structure is 0.152 eV/atom less stable.